# PmNd4In2 PBE optimized geometry
# theoretical density	6.81	g/cm³
# E_form	0.53	eV per formula unit
# energy relative to the lowest polymorph listed for this composition	142	meV per atom
# VASP energy	-4.1095	eV/atom
data_PmNd4In2
_symmetry_space_group_name_H-M 'I 4/m m m'
_symmetry_Int_Tables_number 139
_symmetry_space_group_name_Hall '-I 4 2'
_cell_length_a 6.0128
_cell_length_b 6.0128
_cell_length_c 12.8437
_cell_angle_alpha 90.00
_cell_angle_beta 90.00
_cell_angle_gamma 90.00
loop_
_atom_site_label
_atom_site_fract_x
_atom_site_fract_y
_atom_site_fract_z
Pm1 0.0000 0.0000 0.0000
Nd1 0.0000 0.5000 0.0000
Nd2 0.0000 0.5000 0.2500
In1 0.0000 0.0000 0.3763